Entry i
VASP calculation (PBE) on a relaxed structure of LiLa2NiHg.

Cell lengths 5.3775, 5.3775, 4.7166 Å; angles 90.00, 90.00, 90.00 degrees
Last column: nearest neighbours and their distance in Å.
Space group P4/mmm (No. 123)
Inequivalent atoms, fractional coordinates:
Li1 0.0000 0.0000 0.0000 [1 per cell]  2 Ni 2.36
La1 0.0000 0.5000 0.5000 [2 per cell]  2 Ni 2.69
Ni1 0.0000 0.0000 0.5000 [1 per cell]  2 Li 2.36
Hg1 0.5000 0.5000 0.0000 [1 per cell]  8 La 3.58, 4 Li 3.80


Entry ii
VASP calculation (PBE) on a relaxed structure of LiLa2NiHg.

Cell lengths 5.3724, 5.3724, 5.0442 Å; angles 90.00, 90.00, 90.00 degrees
Last column: nearest neighbours and their distance in Å.
Space group P4/mmm (No. 123)
Inequivalent atoms, fractional coordinates:
Li1 0.0000 0.0000 0.0000 [1 per cell]  8 La 3.68, 4 Hg 3.80
La1 0.0000 0.5000 0.5000 [2 per cell]  2 Ni 2.69
Ni1 0.5000 0.5000 0.5000 [1 per cell]  2 Hg 2.52, 4 La 2.69
Hg1 0.5000 0.5000 0.0000 [1 per cell]  2 Ni 2.52


Most favorable structure: entry i. The second most favorable one is 0.068 eV/atom above it.